A) First-principles (PBE) data for a relaxed structure of SrEuPt2, as listed in Alexandria.

Cell lengths 7.2765, 7.2765, 7.2765 Å; angles 90.00, 90.00, 90.00 degrees
Space group Fm-3m (No. 225)
Inequivalent atoms, fractional coordinates:
1 Sr 0.0000 0.0000 0.0000 x4
2 Eu 0.0000 0.0000 0.5000 x4
3 Pt 0.2500 0.2500 0.2500 x8

Properties
DOS(E_F) (states/eV/atom): 3.614
Theoretical density (kg/m3): 10857

***

B) First-principles (PBE) data for a relaxed structure of SrEuPt2, as listed in Alexandria.

Cell lengths 3.6398, 3.6398, 7.3036 Å; angles 90.00, 90.00, 90.00 degrees
Space group P4/mmm (No. 123)
Inequivalent atoms, fractional coordinates:
1 Sr 0.0000 0.0000 0.0000 x1
2 Eu 0.0000 0.0000 0.5000 x1
3 Pt 0.5000 0.5000 0.2690 x2

Properties
DOS(E_F) (states/eV/atom): 3.556
Theoretical density (kg/m3): 10808

***

It is B) that is the most stable of them.

***

A) First-principles (PBE) data for a relaxed structure of SrEuPt, as listed in Alexandria.

Cell lengths 4.3308, 4.3308, 6.8415 Å; angles 90.00, 90.00, 120.00 degrees
Space group P3m1 (No. 156)
Inequivalent atoms, fractional coordinates:
1 Sr 0.0000 0.0000 0.0000 x1
2 Eu 0.6667 0.3333 0.5301 x1
3 Pt 0.3333 0.6667 0.7513 x1

Properties
DOS(E_F) (states/eV/atom): 4.460
Theoretical density (kg/m3): 6495

***

B) First-principles (PBE) data for a relaxed structure of SrEuPt, as listed in Alexandria.

Cell lengths 7.2815, 7.2815, 7.2815 Å; angles 90.00, 90.00, 90.00 degrees
Space group F-43m (No. 216)
Inequivalent atoms, fractional coordinates:
1 Sr 0.0000 0.0000 0.0000 x4
2 Eu 0.0000 0.0000 0.5000 x4
3 Pt 0.2500 0.2500 0.2500 x4

Properties
DOS(E_F) (states/eV/atom): 4.640
Theoretical density (kg/m3): 7478

***

It is B) that is the most stable of them.

***

A) First-principles (PBE) data for a relaxed structure of EuTaPt2, as listed in Alexandria.

Cell lengths 3.3121, 3.3121, 7.4129 Å; angles 90.00, 90.00, 90.00 degrees
Space group P4/mmm (No. 123)
Inequivalent atoms, fractional coordinates:
1 Eu 0.0000 0.0000 0.0000 x1
2 Ta 0.0000 0.0000 0.5000 x1
3 Pt 0.5000 0.5000 0.3070 x2

Properties
DOS(E_F) (states/eV/atom): 1.814
Theoretical density (kg/m3): 14766

***

B) First-principles (PBE) data for a relaxed structure of EuTaPt2, as listed in Alexandria.

Cell lengths 4.4905, 4.4905, 15.5206 Å; angles 90.00, 90.00, 120.00 degrees
Space group R-3m (No. 166, hexagonal axes)
Inequivalent atoms, fractional coordinates:
1 Eu 0.0000 0.0000 0.0000 x3
2 Ta 0.0000 0.0000 0.5000 x3
3 Pt 0.0000 0.0000 0.2055 x6

Properties
DOS(E_F) (states/eV/atom): 3.260
Theoretical density (kg/m3): 13290

***

It is A) that is the most stable of them.

***

A) First-principles (PBE) data for a relaxed structure of Tb2EuPt, as listed in Alexandria.

Cell lengths 4.1047, 4.1047, 28.0483 Å; angles 90.00, 90.00, 120.00 degrees
Space group R-3m (No. 166, hexagonal axes)
Inequivalent atoms, fractional coordinates:
1 Tb 0.0000 0.0000 0.2203 x6
2 Eu 0.0000 0.0000 0.0000 x3
3 Pt 0.0000 0.0000 0.5000 x3

Properties
DOS(E_F) (states/eV/atom): 1.060
Theoretical density (kg/m3): 8093

***

B) First-principles (PBE) data for a relaxed structure of Tb2EuPt, as listed in Alexandria.

Cell lengths 3.5865, 3.5865, 9.0839 Å; angles 90.00, 90.00, 90.00 degrees
Space group P4/mmm (No. 123)
Inequivalent atoms, fractional coordinates:
1 Tb 0.0000 0.0000 0.1793 x2
2 Eu 0.5000 0.5000 0.5000 x1
3 Pt 0.5000 0.5000 0.0000 x1

Properties
DOS(E_F) (states/eV/atom): 0.988
Theoretical density (kg/m3): 9449

***

It is B) that is the most stable of them.

***

A) First-principles (PBE) data for a relaxed structure of EuThPt2, as listed in Alexandria.

Cell lengths 3.6546, 3.6546, 7.3224 Å; angles 90.00, 90.00, 90.00 degrees
Space group P4/mmm (No. 123)
Inequivalent atoms, fractional coordinates:
1 Eu 0.0000 0.0000 0.0000 x1
2 Th 0.0000 0.0000 0.5000 x1
3 Pt 0.5000 0.5000 0.2852 x2

Properties
DOS(E_F) (states/eV/atom): 2.507
Theoretical density (kg/m3): 13144

***

B) First-principles (PBE) data for a relaxed structure of EuThPt2, as listed in Alexandria.

Cell lengths 7.2092, 7.2092, 7.2092 Å; angles 90.00, 90.00, 90.00 degrees
Space group Fm-3m (No. 225)
Inequivalent atoms, fractional coordinates:
1 Eu 0.0000 0.0000 0.0000 x4
2 Th 0.0000 0.0000 0.5000 x4
3 Pt 0.2500 0.2500 0.2500 x8

Properties
DOS(E_F) (states/eV/atom): 1.823
Theoretical density (kg/m3): 13724

***

It is A) that is the most stable of them.

***

A) First-principles (PBE) data for a relaxed structure of EuThPt, as listed in Alexandria.

Cell lengths 4.7711, 4.7711, 4.2756 Å; angles 90.00, 90.00, 120.00 degrees
Space group P3m1 (No. 156)
Inequivalent atoms, fractional coordinates:
1 Eu 0.0000 0.0000 0.0000 x1
2 Th 0.3333 0.6667 0.5492 x1
3 Pt 0.6667 0.3333 0.3410 x1

Properties
DOS(E_F) (states/eV/atom): 1.154
Theoretical density (kg/m3): 11408

***

B) First-principles (PBE) data for a relaxed structure of EuThPt, as listed in Alexandria.

Cell lengths 7.0984, 7.0984, 7.0984 Å; angles 90.00, 90.00, 90.00 degrees
Space group F-43m (No. 216)
Inequivalent atoms, fractional coordinates:
1 Eu 0.0000 0.0000 0.0000 x4
2 Th 0.0000 0.0000 0.5000 x4
3 Pt 0.2500 0.2500 0.2500 x4

Properties
DOS(E_F) (states/eV/atom): 1.228
Theoretical density (kg/m3): 10754

***

It is B) that is the most stable of them.